(1)
An optimized crystal structure of PuThOs. Source: Alexandria via LeMat-Bulk, functional PBE.

Summary:
total moment = 5.5 μB/f.u.
formation enthalpy at 0 K = -0.160 eV/atom
space-group type = P2_1/m (11)

Unit cell a=4.1819 b=7.8429 c=13.2054 alpha=90.20 beta=90.00 gamma=90.00
Element x y z (fractional)
Os (0.2500, 0.2684, 0.4193)
Os (0.2500, 0.7537, 0.2495)
Th (0.2500, 0.4634, 0.6216)
Os (0.2500, 0.7291, 0.9138)
Th (0.7500, 0.0316, 0.2901)
Pu (0.7500, 0.1426, 0.5391)
Pu (0.2500, 0.8574, 0.4609)
Pu (0.7500, 0.0035, 0.9145)
Os (0.7500, 0.2709, 0.0862)
Th (0.7500, 0.5366, 0.3784)
Pu (0.2500, 0.9965, 0.0855)
Pu (0.7500, 0.6333, 0.7903)
Os (0.7500, 0.7316, 0.5807)
Os (0.7500, 0.2463, 0.7505)
Pu (0.2500, 0.3667, 0.2097)
Th (0.2500, 0.3454, 0.9185)
Th (0.2500, 0.9684, 0.7099)
Th (0.7500, 0.6546, 0.0815)


(2)
An optimized crystal structure of Li4NiP. Source: Alexandria via LeMat-Bulk, functional PBE.

Summary:
total moment = 0.5 μB/f.u.
formation enthalpy at 0 K = 0.057 eV/atom
space-group type = F-43m (216)

Unit cell a=4.6630 b=4.6630 c=4.6630 alpha=60.00 beta=60.00 gamma=60.00
Element x y z (fractional)
Li (0.3750, 0.3750, 0.8750)
P (0.0000, 0.0000, 0.0000)
Li (0.8750, 0.3750, 0.3750)
Ni (0.7500, 0.7500, 0.7500)
Li (0.3750, 0.8750, 0.3750)
Li (0.3750, 0.3750, 0.3750)


(3)
An optimized crystal structure of Ac2AgSbO6. Source: Alexandria via LeMat-Bulk, functional PBE.

Summary:
total moment = 0.0 μB/f.u.
ΔE_f (raw) = -20.9 eV per formula unit
space-group type = P4mm (99)

Unit cell a=5.2925 b=5.6846 c=5.6846 alpha=90.00 beta=90.00 gamma=90.00
Element x y z (fractional)
Ac (0.0184, 0.0000, 0.5000)
Ac (0.0184, 0.5000, 0.0000)
O (0.1040, 0.5000, 0.5000)
Sb (0.6104, 0.0000, 0.0000)
O (0.2413, 0.0000, 0.0000)
O (0.7362, 0.7691, 0.7691)
O (0.7362, 0.7691, 0.2309)
O (0.7362, 0.2309, 0.2309)
Ag (0.5095, 0.5000, 0.5000)
O (0.7362, 0.2309, 0.7691)


(4)
An optimized crystal structure of Li2ZrCl. Source: Alexandria via LeMat-Bulk, functional PBE.

Summary:
total moment = 0.0 μB/f.u.
ΔE_f (raw) = -1.4 eV per formula unit
space-group type = P4mm (99)

Unit cell a=3.1600 b=3.1600 c=7.2673 alpha=90.00 beta=90.00 gamma=90.00
Element x y z (fractional)
Cl (0.5000, 0.5000, 0.7797)
Li (0.5000, 0.5000, 0.2311)
Zr (0.0000, 0.0000, 0.5102)
Li (0.0000, 0.0000, 0.9790)


(5)
An optimized crystal structure of Pr4ZnPd3. Source: Alexandria via LeMat-Bulk, functional PBE.

Summary:
total moment = 0.0 μB/f.u.
formation enthalpy at 0 K = -0.654 eV/atom
space-group type = Pmm2 (25)

Unit cell a=3.9290 b=4.6420 c=11.1968 alpha=90.00 beta=90.00 gamma=90.00
Element x y z (fractional)
Pr (0.5000, 0.5000, 0.3664)
Pr (0.5000, 0.0000, 0.6351)
Pr (0.0000, 0.5000, 0.8555)
Pd (0.0000, 0.0000, 0.4186)
Pd (0.0000, 0.5000, 0.5848)
Pr (0.0000, 0.0000, 0.1407)
Zn (0.5000, 0.5000, 0.0731)
Pd (0.5000, 0.0000, 0.9258)


(6)
An optimized crystal structure of FeAgSb2. Source: Alexandria via LeMat-Bulk, functional PBE.

Summary:
total moment = 2.4 μB/f.u.
ΔE_f (raw) = 1.1 eV per formula unit
space-group type = P4mm (99)

Unit cell a=3.2849 b=3.2849 c=7.9842 alpha=90.00 beta=90.00 gamma=90.00
Element x y z (fractional)
Sb (0.5000, 0.5000, 0.3049)
Ag (0.0000, 0.0000, 0.5378)
Sb (0.0000, 0.0000, 0.9147)
Fe (0.5000, 0.5000, 0.7426)


(7)
An optimized crystal structure of TcAg3As. Source: Alexandria via LeMat-Bulk, functional PBE.

Summary:
total moment = 3.6 μB/f.u.
formation enthalpy at 0 K = 1.095 eV/atom
space-group type = Pm-3m (221)

Unit cell a=4.8543 b=4.8543 c=4.8543 alpha=90.00 beta=90.00 gamma=90.00
Element x y z (fractional)
Ag (0.0000, 0.5000, 0.0000)
As (0.0000, 0.0000, 0.0000)
Ag (0.5000, 0.0000, 0.0000)
Tc (0.5000, 0.5000, 0.5000)
Ag (0.0000, 0.0000, 0.5000)


(8)
An optimized crystal structure of TbEr3Ir. Source: Alexandria via LeMat-Bulk, functional PBE.

Summary:
total moment = 0.0 μB/f.u.
formation enthalpy at 0 K = -0.355 eV/atom
space-group type = Pmn2_1 (31)

Unit cell a=6.1353 b=6.4959 c=7.5555 alpha=90.01 beta=90.00 gamma=90.01
Element x y z (fractional)
Ir (0.1754, 0.6791, 0.7008)
Er (0.4262, 0.8629, 0.9514)
Ir (0.6754, 0.6737, 0.2008)
Er (0.9216, 0.0230, 0.7006)
Er (0.9262, 0.4899, 0.4514)
Er (0.4261, 0.8629, 0.4501)
Er (0.9263, 0.4899, 0.9501)
Tb (0.9287, 0.0255, 0.2007)
Er (0.4216, 0.3297, 0.2009)
Tb (0.4287, 0.3273, 0.7009)


(9)
An optimized crystal structure of Cs3AgGe4. Source: Alexandria via LeMat-Bulk, functional PBE.

Summary:
total moment = 0.0 μB/f.u.
formation enthalpy at 0 K = -0.223 eV/atom
space-group type = Pmmn (59)

Unit cell a=6.3350 b=7.2747 c=13.2172 alpha=90.00 beta=90.00 gamma=90.00
Element x y z (fractional)
Ge (0.0660, 0.3109, 0.0000)
Ge (0.6702, 0.0000, 0.6048)
Ge (0.3298, 0.5000, 0.8952)
Ge (0.9340, 0.8109, 0.5000)
Ge (0.3298, 0.5000, 0.1048)
Ge (0.9340, 0.1891, 0.5000)
Ag (0.6962, 0.5000, 0.0000)
Cs (0.1626, 0.0000, 0.2349)
Cs (0.8374, 0.5000, 0.2651)
Ge (0.6702, 0.0000, 0.3952)
Ge (0.0660, 0.6891, 0.0000)
Ag (0.3038, 0.0000, 0.5000)
Cs (0.8374, 0.5000, 0.7349)
Cs (0.5734, 0.0000, 0.0000)
Cs (0.1626, 0.0000, 0.7651)
Cs (0.4266, 0.5000, 0.5000)


(10)
An optimized crystal structure of AcPm6Te8. Source: Alexandria via LeMat-Bulk, functional PBE.

Summary:
total moment = 0.0 μB/f.u.
ΔE_f (raw) = -19.7 eV per formula unit
space-group type = R-3 (148)

Unit cell a=8.4034 b=8.4034 c=8.4034 alpha=69.58 beta=69.58 gamma=69.58
Element x y z (fractional)
Te (0.8026, 0.3764, 0.0988)
Pm (0.4540, 0.6924, 0.0796)
Te (0.6739, 0.6739, 0.6739)
Te (0.0988, 0.8026, 0.3764)
Te (0.3764, 0.0988, 0.8026)
Te (0.1974, 0.6236, 0.9012)
Te (0.3261, 0.3261, 0.3261)
Pm (0.9204, 0.5460, 0.3076)
Te (0.6236, 0.9012, 0.1974)
Pm (0.0796, 0.4540, 0.6924)
Te (0.9012, 0.1974, 0.6236)
Pm (0.6924, 0.0796, 0.4540)
Pm (0.3076, 0.9204, 0.5460)
Ac (0.0000, 0.0000, 0.0000)
Pm (0.5460, 0.3076, 0.9204)


(11)
An optimized crystal structure of Ce2Er2Pt15. Source: Alexandria via LeMat-Bulk, functional PBE.

Summary:
total moment = 0.7 μB/f.u.
formation enthalpy at 0 K = -0.740 eV/atom
space-group type = R-3m (166)

Unit cell a=7.0957 b=7.0957 c=7.0957 alpha=82.26 beta=82.26 gamma=82.26
Element x y z (fractional)
Pt (0.0000, 0.0000, 0.5000)
Pt (0.8392, 0.3472, 0.3472)
Pt (0.3139, 0.0000, 0.6861)
Pt (0.0000, 0.5000, 0.0000)
Pt (0.6861, 0.3139, 0.0000)
Pt (0.0000, 0.3139, 0.6861)
Pt (0.3472, 0.8392, 0.3472)
Pt (0.3472, 0.3472, 0.8392)
Pt (0.6861, 0.0000, 0.3139)
Ce (0.3566, 0.3566, 0.3566)
Pt (0.3139, 0.6861, 0.0000)
Pt (0.5000, 0.0000, 0.0000)
Pt (0.1608, 0.6528, 0.6528)
Pt (0.6528, 0.1608, 0.6528)
Er (0.8936, 0.8936, 0.8936)
Pt (0.0000, 0.6861, 0.3139)
Er (0.1064, 0.1064, 0.1064)
Ce (0.6434, 0.6434, 0.6434)
Pt (0.6528, 0.6528, 0.1608)


(12)
An optimized crystal structure of Ce4NdN4. Source: Alexandria via LeMat-Bulk, functional PBE.

Summary:
total moment = 0.0 μB/f.u.
ΔE_f (raw) = -11.4 eV per formula unit
space-group type = C2/m (12)

Unit cell a=3.5674 b=6.2196 c=7.9779 alpha=75.66 beta=77.08 gamma=73.33
Element x y z (fractional)
N (0.7017, 0.9089, 0.6877)
Nd (0.5000, 0.0000, 0.0000)
Ce (0.2974, 0.6012, 0.8041)
Ce (0.8969, 0.8145, 0.3918)
Ce (0.7026, 0.3988, 0.1959)
Ce (0.1031, 0.1855, 0.6082)
N (0.8876, 0.3201, 0.9047)
N (0.1124, 0.6799, 0.0953)
N (0.2983, 0.0911, 0.3123)


(13)
An optimized crystal structure of K5Ce2F12. Source: Alexandria via LeMat-Bulk, functional PBE.

Summary:
total moment = 1.0 μB/f.u.
ΔE_f (raw) = -63.4 eV per formula unit
space-group type = C2/m (12)

Unit cell a=8.3169 b=7.8260 c=6.6741 alpha=95.82 beta=90.00 gamma=122.10
Element x y z (fractional)
K (0.7580, 0.5160, 0.0605)
F (0.0769, 0.1538, 0.1368)
F (0.5622, 0.1244, 0.8658)
F (0.3025, 0.2086, 0.7609)
F (0.6975, 0.7914, 0.2391)
Ce (0.7485, 0.0000, 0.0000)
F (0.1749, 0.7323, 0.7685)
K (0.3484, 0.6968, 0.4566)
F (0.4427, 0.2677, 0.2315)
Ce (0.2515, 0.0000, 0.0000)
F (0.9060, 0.2086, 0.7609)
K (0.6516, 0.3032, 0.5434)
F (0.4378, 0.8756, 0.1342)
F (0.0940, 0.7914, 0.2391)
F (0.9231, 0.8462, 0.8632)
K (0.0000, 0.0000, 0.5000)
K (0.2420, 0.4840, 0.9395)
F (0.8251, 0.2677, 0.2315)
F (0.5573, 0.7323, 0.7685)


(14)
An optimized crystal structure of SrLi2In2Ge2. Source: Alexandria via LeMat-Bulk, functional PBE.

Summary:
total moment = 0.0 μB/f.u.
formation enthalpy at 0 K = -0.379 eV/atom
space-group type = R-3m (166)

Unit cell a=4.5763 b=4.5763 c=9.1124 alpha=75.46 beta=75.46 gamma=60.00
Element x y z (fractional)
Ge (0.2596, 0.2596, 0.2211)
Li (0.8499, 0.8499, 0.4502)
In (0.4424, 0.4424, 0.6727)
Sr (0.0000, 0.0000, 0.0000)
Ge (0.7404, 0.7404, 0.7789)
Li (0.1501, 0.1501, 0.5498)
In (0.5576, 0.5576, 0.3273)


(15)
An optimized crystal structure of Na2BePbF6. Source: Alexandria via LeMat-Bulk, functional PBE.

Summary:
total moment = 0.0 μB/f.u.
ΔE_f (raw) = -26.4 eV per formula unit
space-group type = P4mm (99)

Unit cell a=5.0438 b=5.5663 c=5.5663 alpha=90.00 beta=90.00 gamma=90.00
Element x y z (fractional)
F (0.3199, 0.0000, 0.0000)
F (0.7281, 0.2134, 0.2134)
Na (0.9780, 0.5000, 0.0000)
F (0.0640, 0.5000, 0.5000)
Be (0.6240, 0.0000, 0.0000)
Pb (0.5703, 0.5000, 0.5000)
F (0.7281, 0.2134, 0.7866)
F (0.7281, 0.7866, 0.7866)
Na (0.9780, 0.0000, 0.5000)
F (0.7281, 0.7866, 0.2134)


(16)
An optimized crystal structure of Sr2ErSb3Pd4. Source: Alexandria via LeMat-Bulk, functional PBE.

Summary:
total moment = 0.0 μB/f.u.
ΔE_f (raw) = -8.6 eV per formula unit
space-group type = P-4m2 (115)

Unit cell a=4.5704 b=4.5704 c=11.5771 alpha=90.00 beta=90.00 gamma=90.00
Element x y z (fractional)
Pd (0.0000, 0.0000, 0.0000)
Er (0.5000, 0.5000, 0.5000)
Sb (0.0000, 0.0000, 0.5000)
Sr (0.0000, 0.5000, 0.7743)
Pd (0.5000, 0.0000, 0.6429)
Pd (0.5000, 0.5000, 0.0000)
Sb (0.5000, 0.0000, 0.8727)
Sb (0.0000, 0.5000, 0.1273)
Sr (0.5000, 0.0000, 0.2257)
Pd (0.0000, 0.5000, 0.3571)


(17)
An optimized crystal structure of KMg2P2. Source: Alexandria via LeMat-Bulk, functional PBE.

Summary:
total moment = 0.0 μB/f.u.
formation enthalpy at 0 K = -0.301 eV/atom
space-group type = P4/mbm (127)

Unit cell a=8.0177 b=8.0177 c=3.1126 alpha=90.00 beta=90.00 gamma=90.00
Element x y z (fractional)
P (0.1637, 0.6637, 0.5000)
Mg (0.3717, 0.8717, 0.0000)
K (0.5000, 0.5000, 0.0000)
Mg (0.8717, 0.6283, 0.0000)
P (0.8363, 0.3363, 0.5000)
Mg (0.1283, 0.3717, 0.0000)
Mg (0.6283, 0.1283, 0.0000)
K (0.0000, 0.0000, 0.0000)
P (0.6637, 0.8363, 0.5000)
P (0.3363, 0.1637, 0.5000)


(18)
An optimized crystal structure of TbNbZnRu. Source: Alexandria via LeMat-Bulk, functional PBE.

Summary:
total moment = 0.0 μB/f.u.
formation enthalpy at 0 K = -0.082 eV/atom
space-group type = F-43m (216)

Unit cell a=4.7152 b=4.7152 c=4.7152 alpha=60.00 beta=60.00 gamma=60.00
Element x y z (fractional)
Zn (0.2500, 0.2500, 0.2500)
Ru (0.7500, 0.7500, 0.7500)
Tb (0.5000, 0.5000, 0.5000)
Nb (0.0000, 0.0000, 0.0000)


(19)
An optimized crystal structure of Cd2CoMo. Source: Alexandria via LeMat-Bulk, functional PBE.

Summary:
total moment = 2.1 μB/f.u.
formation enthalpy at 0 K = 0.506 eV/atom
space-group type = C2/m (12)

Unit cell a=5.2709 b=5.2709 c=2.7127 alpha=87.95 beta=87.95 gamma=115.46
Element x y z (fractional)
Mo (0.0000, 0.5000, 0.5000)
Cd (0.5000, 0.5000, 0.0000)
Co (0.5000, 0.0000, 0.5000)
Cd (0.0000, 0.0000, 0.0000)


(20)
An optimized crystal structure of UIn2Ge3Pt4. Source: Alexandria via LeMat-Bulk, functional PBE.

Summary:
total moment = 2.0 μB/f.u.
formation enthalpy at 0 K = -0.309 eV/atom
space-group type = P-4m2 (115)

Unit cell a=4.4426 b=4.4426 c=10.5543 alpha=90.00 beta=90.00 gamma=90.00
Element x y z (fractional)
Pt (0.5000, 0.0000, 0.6519)
In (0.5000, 0.0000, 0.2392)
In (0.0000, 0.5000, 0.7608)
Ge (0.5000, 0.0000, 0.8844)
Pt (0.0000, 0.5000, 0.3481)
Ge (0.0000, 0.5000, 0.1156)
Pt (0.5000, 0.5000, 0.0000)
Ge (0.0000, 0.0000, 0.5000)
U (0.5000, 0.5000, 0.5000)
Pt (0.0000, 0.0000, 0.0000)